{"formula": "Sm6Er12In", "functional": "PBE", "state": "relaxed", "ef_ev_per_atom": 0.07, "space_group": "No. 148", "vol_a3_per_cell": 600.32, "lattice": [[5.912, 3.413, 4.958], [-5.912, 3.413, 4.958], [0.000, -6.827, 4.958]], "species": ["Sm", "Sm", "Sm", "Sm", "Sm", "Sm", "Er", "Er", "Er", "Er", "Er", "Er", "Er", "Er", "Er", "Er", "Er", "Er", "In"], "frac_coords": [[0.196, 0.759, 0.592], [0.241, 0.408, 0.804], [0.408, 0.804, 0.241], [0.592, 0.196, 0.759], [0.759, 0.592, 0.196], [0.804, 0.241, 0.408], [0.039, 0.936, 0.277], [0.064, 0.723, 0.961], [0.142, 0.488, 0.310], [0.277, 0.039, 0.936], [0.310, 0.142, 0.488], [0.488, 0.310, 0.142], [0.512, 0.690, 0.858], [0.690, 0.858, 0.512], [0.723, 0.961, 0.064], [0.858, 0.512, 0.690], [0.936, 0.277, 0.039], [0.961, 0.064, 0.723], [0.500, 0.500, 0.500]]}

{"formula": "Cd2InPb", "functional": "PBE", "state": "relaxed", "ef_ev_per_atom": 0.04, "e_above_lowest_polymorph_ev_per_fu": 0.06, "space_group": "No. 25", "vol_a3_per_cell": 105.25, "lattice": [[3.214, 0.000, 0.000], [0.000, 4.504, 0.000], [0.000, 0.000, 7.272]], "species": ["Cd", "Cd", "In", "Pb"], "frac_coords": [[0.000, 0.000, 0.000], [0.500, 0.500, 0.214], [0.000, 0.000, 0.453], [0.500, 0.500, 0.734]]}

{"formula": "HOsRu2", "functional": "PBE", "state": "relaxed", "e_above_lowest_polymorph_ev_per_fu": 0.08, "space_group": "No. 166", "vol_a3_per_cell": 44.19, "lattice": [[1.381, 0.798, 6.686], [-1.381, 0.798, 6.686], [0.000, -1.595, 6.686]], "species": ["H", "Os", "Ru", "Ru"], "frac_coords": [[0.000, 0.000, 0.000], [0.500, 0.500, 0.500], [0.275, 0.275, 0.275], [0.725, 0.725, 0.725]]}

{"formula": "CsK3S2", "functional": "PBE", "state": "relaxed", "e_form_raw_ev_per_atom": -1.029, "space_group": "No. 26", "vol_a3_per_cell": 406.60, "lattice": [[5.047, 0.000, 0.000], [0.000, 9.604, 0.000], [0.000, 0.000, 8.388]], "species": ["Cs", "Cs", "K", "K", "K", "K", "K", "K", "S", "S", "S", "S"], "frac_coords": [[0.000, 0.075, 0.000], [0.000, 0.925, 0.500], [0.000, 0.329, 0.620], [0.000, 0.671, 0.120], [0.500, 0.181, 0.330], [0.500, 0.424, 0.948], [0.500, 0.576, 0.448], [0.500, 0.819, 0.830], [0.000, 0.367, 0.242], [0.000, 0.633, 0.742], [0.500, 0.147, 0.713], [0.500, 0.853, 0.213]]}

{"formula": "ZrAlCr3", "functional": "PBE", "state": "relaxed", "ef_ev_per_atom": 0.51, "e_above_lowest_polymorph_ev_per_fu": 1.93, "space_group": "No. 194", "vol_a3_per_cell": 158.13, "lattice": [[5.866, 0.000, 0.000], [-2.933, 5.080, 0.000], [0.000, 0.000, 5.307]], "species": ["Zr", "Zr", "Al", "Al", "Cr", "Cr", "Cr", "Cr", "Cr", "Cr"], "frac_coords": [[0.333, 0.667, 0.250], [0.667, 0.333, 0.750], [0.000, 0.000, 0.000], [0.000, 0.000, 0.500], [0.208, 0.415, 0.750], [0.208, 0.792, 0.750], [0.415, 0.208, 0.250], [0.585, 0.792, 0.750], [0.792, 0.208, 0.250], [0.792, 0.585, 0.250]]}

{"formula": "CeThTe4", "functional": "PBE", "state": "relaxed", "e_form_raw_ev_per_atom": -0.995, "e_above_lowest_polymorph_ev_per_fu": 0.28, "space_group": "No. 127", "vol_a3_per_cell": 391.27, "lattice": [[7.022, 0.000, 0.000], [0.000, 7.022, 0.000], [0.000, 0.000, 7.935]], "species": ["Ce", "Ce", "Th", "Th", "Te", "Te", "Te", "Te", "Te", "Te", "Te", "Te"], "frac_coords": [[0.000, 0.000, 0.000], [0.500, 0.500, 0.000], [0.000, 0.000, 0.500], [0.500, 0.500, 0.500], [0.176, 0.324, 0.251], [0.176, 0.324, 0.749], [0.324, 0.824, 0.251], [0.324, 0.824, 0.749], [0.676, 0.176, 0.251], [0.676, 0.176, 0.749], [0.824, 0.676, 0.251], [0.824, 0.676, 0.749]]}

{"formula": "PmMg2GeRh2", "functional": "PBE", "state": "relaxed", "ef_ev_per_atom": -0.35, "space_group": "No. 123", "vol_a3_per_cell": 129.38, "lattice": [[4.658, 0.000, 0.000], [0.000, 4.658, 0.000], [0.000, 0.000, 5.964]], "species": ["Pm", "Mg", "Mg", "Ge", "Rh", "Rh"], "frac_coords": [[0.000, 0.000, 0.000], [0.500, 0.500, 0.252], [0.500, 0.500, 0.748], [0.000, 0.000, 0.500], [0.000, 0.500, 0.500], [0.500, 0.000, 0.500]]}

{"formula": "TaAgP2", "functional": "PBE", "state": "relaxed", "ef_ev_per_atom": -0.10, "e_above_lowest_polymorph_ev_per_fu": 0.18, "space_group": "No. 6", "vol_a3_per_cell": 66.65, "lattice": [[3.553, 0.000, 0.000], [0.000, 3.557, 0.000], [-0.007, 0.000, 5.274]], "species": ["Ta", "Ag", "P", "P"], "frac_coords": [[0.000, 0.000, 0.000], [0.500, 0.500, 0.346], [0.499, 0.500, 0.856], [0.999, 0.000, 0.460]]}

{"formula": "Pt2SeBr", "functional": "PBE", "state": "relaxed", "e_form_raw_ev_per_atom": 0.495, "e_above_lowest_polymorph_ev_per_fu": 2.83, "space_group": "No. 47", "vol_a3_per_cell": 93.89, "lattice": [[3.568, 0.000, 0.000], [0.000, 3.629, 0.000], [0.000, 0.000, 7.251]], "species": ["Pt", "Pt", "Se", "Br"], "frac_coords": [[0.000, 0.000, 0.000], [0.500, 0.000, 0.500], [0.000, 0.500, 0.500], [0.500, 0.500, 0.000]]}